# AgGeCl3 (GGA-PBE, optimized geometry)
# energy relative to the elements, uncorrected: -0.381 eV/atom
# total magnetic moment: 0.0000 μB per atom
# crystal system: cubic
data_AgGeCl3
_chemical_formula_sum 'Ag1 Ge1 Cl3'
_symmetry_space_group_name_H-M 'P m -3 m'
_symmetry_Int_Tables_number 221
_symmetry_space_group_name_Hall '-P 4 2 3'
_cell_length_a 5.1395
_cell_length_b 5.1395
_cell_length_c 5.1395
_cell_angle_alpha 90.00
_cell_angle_beta 90.00
_cell_angle_gamma 90.00
loop_
_atom_site_label
_atom_site_fract_x
_atom_site_fract_y
_atom_site_fract_z
Ag1 0.0000 0.0000 0.0000
Ge1 0.5000 0.5000 0.5000
Cl1 0.0000 0.5000 0.5000